Density functional theory data (PBE) for NbCo2Ir2 after structural relaxation.

Cell lengths 7.171, 7.171, 2.741 Å; angles 90.00, 90.00, 90.00 degrees
Site moments in Bohr magnetons follow the coordinates.
Fractional coordinates of all 10 atoms:
Co1 0.168 0.668 0.500  1.22
Co2 0.832 0.332 0.500  1.22
Co3 0.668 0.832 0.500  1.22
Co4 0.332 0.168 0.500  1.22
Ir1 0.630 0.130 0.000  0.25
Ir2 0.370 0.870 0.000  0.25
Ir3 0.870 0.630 0.000  0.24
Ir4 0.130 0.370 0.000  0.24
Nb1 0.000 0.000 0.000  -0.14
Nb2 0.500 0.500 0.000  -0.14

Computed properties:
* final energy: -8.43 eV/atom
* energy above the most stable polymorph in this dataset: 84 meV/atom
* space-group type: P4/mbm (127)
* formation energy: -32 meV per atom

---

Density functional theory data (PBE) for NbCoIr2 after structural relaxation.

Cell lengths 3.800, 3.800, 9.166 Å; angles 78.04, 78.04, 90.00 degrees
Fractional coordinates of all 8 atoms:
Ir1 0.375 0.409 0.750
Ir2 0.875 0.841 0.750
Ir3 0.159 0.625 0.250
Ir4 0.591 0.125 0.250
Co1 0.250 0.750 0.500
Co2 0.500 0.500 0.000
Nb1 0.750 0.250 0.500
Nb2 0.000 0.000 0.000

Computed properties:
* final energy: -8.54 eV/atom
* space-group type: I-42d (122)
* formation energy: 182 meV per atom

---

Density functional theory data (PBE) for NbCo3Ir after structural relaxation.

Cell lengths 4.442, 4.442, 4.442 Å; angles 90.00, 90.00, 90.00 degrees
Site moments in Bohr magnetons follow the coordinates.
Fractional coordinates of all 5 atoms:
Co1 0.500 0.000 0.000  1.36
Co2 0.000 0.000 0.500  1.91
Co3 0.000 0.500 0.000  1.56
Ir1 0.000 0.000 0.000  0.51
Nb1 0.500 0.500 0.500  0.34

Computed properties:
* final energy: -6.66 eV/atom
* energy above the most stable polymorph in this dataset: 0 meV/atom
* space-group type: Pm-3m (221)
* formation energy: 1387 meV per atom